Entry 1:
Ce2HoCd: optimized geometry, PBE.

Results
Offset from the most stable computed form = 246.6 meV per atom
Calculated formation energy = 85.4 kJ/mol of formula units

Cell: 3.291 3.291 12.584 Å, 82.49 82.49 60.00°
Element x y z (fractional)
Ho (0.500, 0.500, 0.500)
Ce (0.089, 0.089, 0.734)
Ce (0.911, 0.911, 0.266)
Cd (0.000, 0.000, 0.000)

=====

Entry 2:
ThSbRu: optimized geometry, PBE.

Results
Raw total energy = -7.164 eV per atom

Cell: 3.915 3.915 5.767 Å, 109.84 109.84 90.00°
Element x y z (fractional)
Sb (0.964, 0.964, 0.929)
Th (0.656, 0.656, 0.313)
Ru (0.229, 0.229, 0.459)

=====

Entry 3:
TbNbRh: optimized geometry, PBE.

Results
Calculated formation energy = -64.3 kJ/mol of formula units

Cell: 4.721 3.333 10.827 Å, 90.00 90.00 135.09°
Element x y z (fractional)
Rh (0.694, 0.387, 0.000)
Rh (0.195, 0.389, 0.500)
Tb (0.695, 0.389, 0.337)
Tb (0.695, 0.389, 0.663)
Nb (0.195, 0.389, 0.864)
Nb (0.195, 0.389, 0.136)

=====

Entry 4:
PaNbCr: optimized geometry, PBE.

Results
Offset from the most stable computed form = 0.0 meV per atom
Calculated formation energy = 76.6 kJ/mol of formula units

Cell: 3.155 3.155 6.045 Å, 105.13 105.13 90.00°
Element x y z (fractional)
Cr (0.680, 0.680, 0.360)
Nb (0.306, 0.306, 0.611)
Pa (0.014, 0.014, 0.028)

=====

Entry 5:
Ac11Cd9Rh4: optimized geometry, PBE.

Results
Calculated formation energy = -1057.9 kJ/mol of formula units

Cell: 4.047 13.989 13.989 Å, 112.91 90.00 90.00°
Element x y z (fractional)
Ac (0.000, 0.583, 0.918)
Ac (0.000, 0.417, 0.082)
Ac (0.000, 0.918, 0.583)
Ac (0.000, 0.082, 0.417)
Ac (0.000, 0.625, 0.375)
Ac (0.000, 0.375, 0.625)
Ac (0.000, 0.837, 0.163)
Ac (0.000, 0.163, 0.837)
Ac (0.000, 0.000, 0.000)
Ac (0.000, 0.691, 0.691)
Ac (0.000, 0.309, 0.309)
Cd (0.500, 0.634, 0.161)
Cd (0.500, 0.366, 0.839)
Cd (0.500, 0.161, 0.634)
Cd (0.500, 0.839, 0.366)
Cd (0.500, 0.784, 0.925)
Cd (0.500, 0.216, 0.075)
Cd (0.500, 0.925, 0.784)
Cd (0.500, 0.075, 0.216)
Cd (0.500, 0.500, 0.500)
Rh (0.500, 0.548, 0.751)
Rh (0.500, 0.452, 0.249)
Rh (0.500, 0.751, 0.548)
Rh (0.500, 0.249, 0.452)

=====

Entry 6:
Tb2SmN: optimized geometry, PBE.

Results
Raw total energy = -6.249 eV per atom

Cell: 3.474 3.474 9.808 Å, 79.80 79.80 60.00°
Element x y z (fractional)
Tb (0.120, 0.120, 0.639)
Tb (0.880, 0.880, 0.361)
Sm (0.000, 0.000, 0.000)
N (0.500, 0.500, 0.500)